Entry 1:
Density functional theory data (PBE) for a relaxed structure of MoC.

Lattice parameters (Å, degrees): 3.053 9.309 5.796 90.00 90.00 90.00
Fractional positions:
C: 0.500 0.730 0.137
C: 0.000 0.000 0.354
C: 0.500 0.770 0.637
Mo: 0.500 0.000 0.601
Mo: 0.500 0.500 0.101
Mo: 0.000 0.214 0.386
C: 0.000 0.500 0.854
C: 0.500 0.230 0.637
Mo: 0.000 0.286 0.886
C: 0.500 0.270 0.137
Mo: 0.000 0.786 0.386
Mo: 0.000 0.714 0.886

excess energy over the best structure of this formula in the dataset	488.0	meV/atom
size of the total moment	0.00	μB per atom
formation energy from the elements	0.394	eV per atom



Entry 2:
Density functional theory data (PBE) for a relaxed structure of Cd5Hg3.

Lattice parameters (Å, degrees): 5.845 8.938 8.627 82.09 70.20 66.02
Fractional positions:
Hg: 0.268 0.500 0.464
Hg: 0.828 0.000 0.344
Cd: 0.751 0.805 0.658
Cd: 0.018 0.661 0.195
Hg: 0.388 0.346 0.000
Hg: 0.732 0.500 0.536
Cd: 0.240 0.021 0.000
Cd: 0.760 0.979 0.000
Hg: 0.172 0.000 0.656
Cd: 0.249 0.195 0.342
Cd: 0.410 0.805 0.342
Cd: 0.982 0.339 0.805
Cd: 0.787 0.339 0.195
Cd: 0.213 0.661 0.805
Hg: 0.612 0.654 0.000
Cd: 0.590 0.195 0.658

excess energy over the best structure of this formula in the dataset	21.9	meV/atom
size of the total moment	0.00	μB per atom
formation energy from the elements	0.038	eV per atom



Entry 3:
Density functional theory data (PBE) for a relaxed structure of MgGa.

Lattice parameters (Å, degrees): 5.225 5.225 5.513 69.05 69.05 59.75
Fractional positions:
Mg: 0.839 0.820 0.514
Mg: 0.180 0.161 0.486
Ga: 0.513 0.487 0.500
Mg: 0.328 0.672 0.000
Ga: 0.659 0.019 0.995
Ga: 0.981 0.341 0.005

size of the total moment	0.00	μB per atom
formation energy from the elements	-0.100	eV per atom



Entry 4:
Density functional theory data (PBE) for a relaxed structure of BaHg2F6.

Lattice parameters (Å, degrees): 6.155 6.155 5.524 90.00 90.00 120.00
Fractional positions:
Hg: 0.333 0.667 0.500
F: 0.000 0.650 0.278
Ba: 0.000 0.000 0.000
F: 0.000 0.350 0.722
F: 0.650 0.000 0.278
F: 0.650 0.650 0.722
Hg: 0.667 0.333 0.500
F: 0.350 0.350 0.278
F: 0.350 0.000 0.722

E_form (uncorrected)	-20.02	eV/f.u.
size of the total moment	0.00	μB per atom



Entry 5:
Density functional theory data (PBE) for a relaxed structure of TiVOs.

Lattice parameters (Å, degrees): 2.964 6.934 8.972 90.00 90.00 90.00
Fractional positions:
Os: 0.750 0.277 0.649
V: 0.750 0.007 0.383
V: 0.250 0.507 0.117
Ti: 0.250 0.349 0.404
V: 0.250 0.993 0.617
Ti: 0.750 0.651 0.596
Ti: 0.750 0.849 0.096
Os: 0.250 0.723 0.351
Ti: 0.250 0.151 0.904
Os: 0.250 0.777 0.851
V: 0.750 0.493 0.883
Os: 0.750 0.223 0.149

excess energy over the best structure of this formula in the dataset	298.3	meV/atom
size of the total moment	0.00	μB per atom
formation energy from the elements	-0.151	eV per atom



Entry 6:
Density functional theory data (PBE) for a relaxed structure of Ni2HI.

Lattice parameters (Å, degrees): 4.220 4.220 4.220 60.00 60.00 60.00
Fractional positions:
H: 0.000 0.000 0.000
I: 0.500 0.500 0.500
Ni: 0.750 0.750 0.750
Ni: 0.250 0.250 0.250

excess energy over the best structure of this formula in the dataset	554.3	meV/atom
size of the total moment	0.00	μB per atom



Entry 7:
Density functional theory data (PBE) for a relaxed structure of CsB2AuF8.

Lattice parameters (Å, degrees): 5.356 5.356 8.780 72.24 72.24 60.00
Site moments in Bohr magnetons follow the coordinates.
Fractional positions:
B: 0.255 0.255 0.234  0.00
F: 0.300 0.011 0.179  0.00
B: 0.745 0.745 0.766  0.00
F: 0.490 0.700 0.821  0.00
F: 0.989 0.490 0.821  0.00
F: 0.197 0.197 0.408  0.00
F: 0.803 0.803 0.592  0.00
F: 0.510 0.300 0.179  0.00
Cs: 0.500 0.500 0.500  0.00
F: 0.011 0.510 0.179  0.00
Au: 0.000 0.000 0.000  0.12
F: 0.700 0.989 0.821  0.00

E_form (uncorrected)	-30.05	eV/f.u.
size of the total moment	0.01	μB per atom



Entry 8:
Density functional theory data (PBE) for a relaxed structure of LaDy3Bi4.

Lattice parameters (Å, degrees): 4.543 7.853 7.853 70.54 90.00 90.00
Fractional positions:
Bi: 0.500 0.754 0.254
Dy: 0.500 0.000 0.500
Bi: 0.500 0.246 0.746
La: 0.500 0.500 0.000
Dy: 0.000 0.000 0.000
Bi: 0.000 0.759 0.741
Dy: 0.000 0.500 0.500
Bi: 0.000 0.241 0.259

size of the total moment	0.00	μB per atom
formation energy from the elements	-0.900	eV per atom



Entry 9:
Density functional theory data (PBE) for a relaxed structure of CrRh2Se.

Lattice parameters (Å, degrees): 2.798 2.798 7.430 90.00 90.00 90.00
Fractional positions:
Rh: 0.000 0.000 0.974
Se: 0.500 0.500 0.250
Cr: 0.500 0.500 0.750
Rh: 0.000 0.000 0.526

E_form (uncorrected)	0.32	eV/f.u.
size of the total moment	0.00	μB per atom



Entry 10:
Density functional theory data (PBE) for a relaxed structure of SrMnPS2.

Lattice parameters (Å, degrees): 4.849 4.849 4.386 90.00 90.00 90.00
Site moments in Bohr magnetons follow the coordinates.
Fractional positions:
S: 0.500 0.000 0.000  0.00
Mn: 0.000 0.000 0.000  2.80
S: 0.000 0.500 0.000  0.00
P: 0.000 0.000 0.500  -0.22
Sr: 0.500 0.500 0.500  0.01

excess energy over the best structure of this formula in the dataset	0.0	meV/atom
E_form (uncorrected)	-3.48	eV/f.u.
size of the total moment	0.51	μB per atom



Entry 11:
Density functional theory data (PBE) for a relaxed structure of CeZn3Ni.

Lattice parameters (Å, degrees): 4.594 4.594 4.594 90.00 90.00 90.00
Site moments in Bohr magnetons follow the coordinates.
Fractional positions:
Zn: 0.000 0.500 0.000  0.01
Ce: 0.500 0.500 0.500  0.97
Zn: 0.000 0.000 0.500  0.01
Zn: 0.500 0.000 0.000  0.01
Ni: 0.000 0.000 0.000  0.08

excess energy over the best structure of this formula in the dataset	121.9	meV/atom
size of the total moment	0.27	μB per atom
formation energy from the elements	-0.144	eV per atom



Entry 12:
Density functional theory data (PBE) for a relaxed structure of Dy9Ho2Tm.

Lattice parameters (Å, degrees): 4.989 4.989 14.966 90.00 90.00 90.00
Fractional positions:
Ho: 0.000 0.000 0.667
Ho: 0.000 0.000 0.333
Dy: 0.500 0.500 0.000
Dy: 0.000 0.500 0.500
Dy: 0.500 0.000 0.166
Dy: 0.500 0.500 0.667
Dy: 0.000 0.500 0.166
Dy: 0.500 0.000 0.500
Dy: 0.500 0.000 0.834
Tm: 0.000 0.000 0.000
Dy: 0.500 0.500 0.333
Dy: 0.000 0.500 0.834

excess energy over the best structure of this formula in the dataset	0.0	meV/atom
size of the total moment	0.00	μB per atom
formation energy from the elements	0.021	eV per atom



Look up the size of the total moment of the third one.
0.00 μB per atom



Which value of size of the total moment does entry 1 give?
0.00 μB per atom